## ScNiBO4 (PBE with a Hubbard U)

Data for an optimized crystal structure of ScNiBO4.

**Offset from the most stable computed form**: 0 kJ/mol of formula units

Unit cell a=3.2387 b=9.4167 c=9.5598 alpha=90.00 beta=90.00 gamma=90.00
Last column: nearest neighbours and their distance in Å.
Atoms (fractional coordinates):
Sc 0.5000 0.8915 0.1697  4 O 2.01-2.15
Sc 0.5000 0.3915 0.8303  4 O 2.01-2.15
Sc 0.5000 0.8984 0.5551  4 O 1.98-2.19
Sc 0.5000 0.3984 0.4449  4 O 1.98-2.19
Ni 0.0000 0.1222 0.3138  6 O 2.03-2.17
Ni 0.0000 0.6222 0.6862  6 O 2.03-2.17
Ni 0.0000 0.1029 0.9434  6 O 2.00-2.18
Ni 0.0000 0.6029 0.0566  6 O 2.00-2.18
B 0.0000 0.1690 0.6290  3 O 1.37-1.41
B 0.0000 0.6690 0.3710  3 O 1.37-1.41
B 0.5000 0.8288 0.8751  3 O 1.37-1.41
B 0.5000 0.3288 0.1249  3 O 1.37-1.41
O 0.0000 0.2476 0.5037  1 B 1.41
O 0.0000 0.7476 0.4963  1 B 1.41
O 0.5000 0.7452 0.9969  1 B 1.41
O 0.5000 0.2452 0.0031  1 B 1.41
O 0.0000 0.2342 0.7572  1 B 1.37
O 0.0000 0.7342 0.2428  1 B 1.37
O 0.5000 0.7644 0.7428  1 B 1.40
O 0.5000 0.2644 0.2572  1 B 1.40
O 0.0000 0.0114 0.1318  2 Ni 2.00-2.03, 2 Sc 2.01
O 0.0000 0.5114 0.8682  2 Ni 2.00-2.03, 2 Sc 2.01
O 0.5000 0.9883 0.3678  2 Sc 1.98-2.10, 2 Ni 2.12
O 0.5000 0.4883 0.6322  2 Sc 1.98-2.10, 2 Ni 2.12
O 0.0000 0.0225 0.6192  1 B 1.38
O 0.0000 0.5225 0.3808  1 B 1.38
O 0.5000 0.9736 0.8889  1 B 1.37
O 0.5000 0.4736 0.1111  1 B 1.37